Te2Br3 | Alexandria via LeMat-Bulk | PBE-GGA | optimized geometry; energy relative to the lowest polymorph listed for this composition = 0.00 eV/f.u.; space group = P6/mmm (191)
1.0
5.881 0.000 0.000
-2.940 5.093 0.000
0.000 0.000 5.503
Te Br
2 3
direct
0.333 0.667 0.000
0.667 0.333 0.000
0.000 0.000 0.000
0.333 0.667 0.500
0.667 0.333 0.500

Te2Br | Alexandria via LeMat-Bulk | PBE-GGA | optimized geometry; energy relative to the lowest polymorph listed for this composition = 0.35 eV/f.u.; space group = Cm (8)
1.0
6.524 -2.090 0.000
6.524 2.090 0.000
-2.437 0.000 8.328
Te Br
4 2
direct
0.000 0.000 0.000
0.152 0.152 0.559
0.522 0.522 0.772
0.808 0.808 0.657
0.205 0.205 0.128
0.478 0.478 0.249

Te2Br | Alexandria via LeMat-Bulk | PBE-GGA | optimized geometry; energy relative to the lowest polymorph listed for this composition = 0.00 eV/f.u.; space group = P1 (1)
1.0
4.054 0.000 0.000
2.022 7.117 0.000
0.043 2.859 8.385
Te Br
4 2
direct
0.000 0.000 0.000
0.123 0.747 0.345
0.362 0.277 0.018
0.518 0.953 0.461
0.710 0.580 0.036
0.907 0.176 0.578

Te2Br | Alexandria via LeMat-Bulk | PBE-GGA | optimized geometry; energy relative to the lowest polymorph listed for this composition = 0.32 eV/f.u.; space group = I4_1/amd (141)
1.0
-1.960 1.960 12.651
1.960 -1.960 12.651
1.960 1.960 -12.651
Te Br
4 2
direct
0.289 0.539 0.750
0.461 0.711 0.750
0.539 0.289 0.250
0.711 0.461 0.250
0.125 0.875 0.250
0.875 0.125 0.750

TeBr3 | Alexandria via LeMat-Bulk | PBE-GGA | optimized geometry; energy relative to the lowest polymorph listed for this composition = 0.59 eV/f.u.; space group = Pmmn (59)
1.0
6.073 0.000 0.000
0.000 7.322 0.000
0.000 0.000 8.371
Te Br
2 6
direct
0.250 0.250 0.131
0.750 0.750 0.869
0.250 0.504 0.328
0.250 0.750 0.884
0.250 0.996 0.328
0.750 0.004 0.672
0.750 0.250 0.116
0.750 0.496 0.672

Te2Br | Alexandria via LeMat-Bulk | PBE-GGA | optimized geometry; energy relative to the lowest polymorph listed for this composition = 0.68 eV/f.u.; space group = I4/mmm (139)
1.0
-1.936 1.936 6.057
1.936 -1.936 6.057
1.936 1.936 -6.057
Te Br
2 1
direct
0.194 0.194 0.000
0.806 0.806 0.000
0.500 0.500 0.000

Te7Br | Alexandria via LeMat-Bulk | PBE-GGA | optimized geometry; uncorrected energy = -2.5674 eV/atom; space group = Fm-3m (225)
1.0
0.000 4.818 4.818
4.818 0.000 4.818
4.818 4.818 0.000
Te Br
7 1
direct
0.000 0.000 0.000
0.000 0.000 0.500
0.000 0.500 0.000
0.000 0.500 0.500
0.500 0.000 0.000
0.500 0.000 0.500
0.500 0.500 0.000
0.500 0.500 0.500

TeBr3 | Alexandria via LeMat-Bulk | PBE-GGA | optimized geometry; energy relative to the lowest polymorph listed for this composition = 2.14 eV/f.u.; space group = I-42d (122)
1.0
-3.538 3.538 7.965
3.538 -3.538 7.965
3.538 3.538 -7.965
Te Br
2 6
direct
0.000 0.000 0.000
0.750 0.250 0.500
0.250 0.750 0.500
0.375 0.224 0.349
0.500 0.500 0.000
0.776 0.125 0.151
0.875 0.026 0.651
0.974 0.625 0.849

TeBr2 | Alexandria via LeMat-Bulk | PBE-GGA | optimized geometry; energy relative to the lowest polymorph listed for this composition = 1.64 eV/f.u.; space group = Fm-3m (225)
1.0
0.000 3.663 3.663
3.663 0.000 3.663
3.663 3.663 0.000
Te Br
1 2
direct
0.000 0.000 0.000
0.250 0.250 0.250
0.750 0.750 0.750

Te2Br | Alexandria via LeMat-Bulk | PBE-GGA | optimized geometry; energy relative to the lowest polymorph listed for this composition = 0.63 eV/f.u.; space group = Pnnm (58)
1.0
6.538 0.000 0.000
0.000 9.784 0.000
0.000 0.000 3.779
Te Br
4 2
direct
0.105 0.116 0.000
0.395 0.616 0.500
0.605 0.384 0.500
0.895 0.884 0.000
0.000 0.500 0.500
0.500 0.000 0.000

TeBr4 | Alexandria via LeMat-Bulk | PBE-GGA | optimized geometry; energy relative to the lowest polymorph listed for this composition = 0.01 eV/f.u.; space group = C2/c (15)
1.0
4.070 -8.141 0.000
4.070 8.141 0.000
-2.931 0.000 6.404
Te Br
2 8
direct
0.075 0.925 0.750
0.925 0.075 0.250
0.029 0.392 0.203
0.157 0.281 0.670
0.281 0.157 0.170
0.392 0.029 0.703
0.608 0.971 0.297
0.719 0.843 0.830
0.843 0.719 0.330
0.971 0.608 0.797

Te2Br | Alexandria via LeMat-Bulk | PBE-GGA | optimized geometry; energy relative to the lowest polymorph listed for this composition = 0.39 eV/f.u.; space group = P-3m1 (164)
1.0
4.637 0.000 0.000
-2.318 4.015 0.000
0.000 0.000 5.407
Te Br
2 1
direct
0.333 0.667 0.123
0.667 0.333 0.877
0.000 0.000 0.500